# KZr2Co, optimized geometry, DFT GGA-PBE
# E above lowest polymorph: 0.792 eV per atom
# Density: 3.25 Mg/m³
# Crystal system: tetragonal
# Symmetry: No. 141
# Calculated total energy: -5.272 eV per atom
# Calculated formation energy: 1.0533 eV per atom
data_KZr2Co
_chemical_formula_sum 'K2 Zr4 Co2'
_symmetry_space_group_name_H-M 'P 1'
_symmetry_Int_Tables_number 1
_cell_length_a 8.220
_cell_length_b 8.220
_cell_length_c 8.220
_cell_angle_alpha 133.59
_cell_angle_beta 133.59
_cell_angle_gamma 67.73
loop_
_symmetry_equiv_pos_as_xyz
'x,y,z'
loop_
_atom_site_label
_atom_site_fract_x
_atom_site_fract_y
_atom_site_fract_z
K1 0.375 0.625 0.750
K2 0.625 0.375 0.250
Zr1 0.000 0.000 0.000
Zr2 0.000 0.000 0.500
Zr3 0.000 0.500 0.000
Zr4 0.500 0.000 0.500
Co1 0.125 0.875 0.250
Co2 0.875 0.125 0.750